Record 1
TbErPd2: relaxed, PBE.

a b c (Å): 3.7426 4.5279 5.5940
angles (deg): 90.00 109.61 90.00
With the nearest neighbours (Å) after each atom.
Positions (direct):
Tb1 0.4448 0.5000 0.4285  7 Pd 2.90-3.02
Pd1 0.1702 0.5000 0.8787  3 Tb 2.90-3.02, 2 Pd 2.91, 4 Er 2.98-2.99
Pd2 0.9964 0.0000 0.5323  2 Pd 2.91, 3 Er 2.92-3.01, 4 Tb 2.99
Er1 0.7196 0.0000 0.9785  7 Pd 2.92-3.01

Calculated values
Its symmetry is No. 38. As for the formation energy: -924 meV/atom. The value obtained for the total energy is -23.3 eV per cell. As for the energy above the most stable polymorph in this dataset: 0 meV per atom.

Record 2
Nd3IrBrCl: relaxed, PBE.

a b c (Å): 3.8598 9.3110 11.6161
angles (deg): 121.51 90.00 90.00
With the nearest neighbours (Å) after each atom.
Positions (direct):
Cl1 0.7500 0.7850 0.4255  3 Nd 2.85-2.91
Cl2 0.2500 0.2150 0.5745  3 Nd 2.85-2.91
Nd1 0.2500 0.5468 0.8076  1 Cl 2.85, 2 Ir 2.90, 1 Br 3.15
Nd2 0.2500 0.0547 0.8987  3 Ir 2.95-3.00, 2 Br 3.16
Nd3 0.7500 0.4532 0.1924  1 Cl 2.85, 2 Ir 2.90, 1 Br 3.15
Nd4 0.7500 0.9453 0.1013  3 Ir 2.95-3.00, 2 Br 3.16
Nd5 0.7500 0.2948 0.4285  2 Cl 2.91, 2 Ir 3.06
Nd6 0.2500 0.7052 0.5715  2 Cl 2.91, 2 Ir 3.06
Ir1 0.2500 0.2254 0.2003  7 Nd 2.90-3.06
Ir2 0.7500 0.7746 0.7997  7 Nd 2.90-3.06
Br1 0.2500 0.6896 0.1199  5 Nd 3.15-3.35
Br2 0.7500 0.3104 0.8801  5 Nd 3.15-3.35

Calculated values
Its symmetry is No. 11. The value obtained for the total energy is -67.8 eV per cell.

Record 3
KSrNi2: relaxed, PBE.

a b c (Å): 9.2548 9.2548 9.2548
angles (deg): 23.28 23.28 23.28
With the nearest neighbours (Å) after each atom.
Positions (direct):
K1 0.7500 0.7500 0.7500  6 Ni 3.25
Ni1 0.5067 0.5067 0.5067  3 Sr 2.99, 3 K 3.25
Ni2 0.9933 0.9933 0.9933  3 Sr 2.99, 3 K 3.25
Sr1 0.2500 0.2500 0.2500  6 Ni 2.99

Calculated values
Its symmetry is No. 166. As for the formation energy: 786 meV/atom. The value obtained for the total energy is -11.2 eV per cell. As for the energy above the most stable polymorph in this dataset: 627 meV per atom.

Record 4
BaSi2Rh: relaxed, PBE.

a b c (Å): 4.8615 4.8615 4.8615
angles (deg): 60.00 60.00 60.00
With the nearest neighbours (Å) after each atom.
Positions (direct):
Si1 0.2500 0.2500 0.2500  4 Ba 2.98, 4 Rh 2.98
Si2 0.7500 0.7500 0.7500  4 Ba 2.98, 4 Rh 2.98
Rh1 0.0000 0.0000 0.0000  8 Si 2.98
Ba1 0.5000 0.5000 0.5000  8 Si 2.98

Calculated values
Its symmetry is No. 225. The value obtained for the total energy is -19.1 eV per cell.